# DyScZnRu

DyScZnRu after structural relaxation (PBE, Alexandria via LeMat-Bulk).

- space-group type = No. 216
- DFT formation energy (eV per formula unit) = -1.57
- size of the total moment (μB/cell) = 0.0

Cell lengths 4.7767, 4.7767, 4.7767 Å; angles 60.00, 60.00, 60.00 degrees
Element x y z (fractional)
1 Dy 0.5000 0.5000 0.5000
2 Zn 0.2500 0.2500 0.2500
3 Sc 0.0000 0.0000 0.0000
4 Ru 0.7500 0.7500 0.7500

# Dy7RuSe5

Dy7RuSe5 after structural relaxation (PBE, Alexandria via LeMat-Bulk).

- space-group type = No. 36
- VASP energy (eV per atom) = -5.952
- size of the total moment (μB/cell) = 0.0

Cell lengths 3.9399, 7.0032, 24.5246 Å; angles 90.00, 90.00, 106.34 degrees
Element x y z (fractional)
1 Se 0.2879 0.5758 0.0724
2 Dy 0.6313 0.2626 0.4656
3 Dy 0.3522 0.7044 0.5390
4 Dy 0.5444 0.0887 0.7487
5 Se 0.4347 0.8694 0.6448
6 Dy 0.7855 0.5710 0.6821
7 Dy 0.1948 0.3897 0.3171
8 Dy 0.3693 0.7386 0.9656
9 Se 0.0117 0.0233 0.9986
10 Ru 0.1897 0.3795 0.7600
11 Se 0.9890 0.9781 0.4987
12 Dy 0.6485 0.2969 0.0390
13 Se 0.2711 0.5422 0.4288
14 Dy 0.8939 0.7879 0.3720
15 Dy 0.2152 0.4304 0.1821
16 Se 0.7294 0.4589 0.9288
17 Se 0.5478 0.0956 0.3591
18 Se 0.5660 0.1320 0.1448
19 Se 0.7128 0.4256 0.5724
20 Dy 0.8055 0.6110 0.8171
21 Ru 0.8107 0.6214 0.2600
22 Dy 0.1064 0.2128 0.8721
23 Dy 0.9238 0.8475 0.1118
24 Se 0.4526 0.9051 0.8590
25 Dy 0.0770 0.1541 0.6119
26 Dy 0.4562 0.9124 0.2487

# Dy3RuSe

Dy3RuSe after structural relaxation (PBE, Alexandria via LeMat-Bulk).

- relative energy among the computed polymorphs (eV per atom) = 0.021
- space-group type = No. 12
- size of the total moment (μB/cell) = 0.0

Cell lengths 4.0051, 7.7320, 9.9891 Å; angles 63.33, 89.99, 74.98 degrees
Element x y z (fractional)
1 Dy 0.5504 0.2887 0.7491
2 Dy 0.2655 0.8588 0.6342
3 Ru 0.6214 0.1465 0.0738
4 Se 0.7643 0.8608 0.8408
5 Dy 0.8326 0.7248 0.3882
6 Dy 0.2479 0.8935 0.0525
7 Ru 0.1944 0.0011 0.3095
8 Dy 0.9832 0.4227 0.9952
9 Se 0.0516 0.2867 0.5426
10 Dy 0.5679 0.2540 0.3308

# Dy3RuSe

Dy3RuSe after structural relaxation (PBE, Alexandria via LeMat-Bulk).

- relative energy among the computed polymorphs (eV per atom) = 0.000
- space-group type = No. 11
- size of the total moment (μB/cell) = 0.0

Cell lengths 3.8430, 8.3629, 8.3043 Å; angles 96.17, 90.00, 90.00 degrees
Element x y z (fractional)
1 Se 0.2500 0.8729 0.3250
2 Dy 0.7500 0.3300 0.9853
3 Dy 0.2500 0.8615 0.6730
4 Dy 0.2500 0.3999 0.6307
5 Se 0.7500 0.1271 0.6750
6 Ru 0.7500 0.6219 0.7616
7 Dy 0.7500 0.6001 0.3693
8 Dy 0.7500 0.1385 0.3270
9 Ru 0.2500 0.3781 0.2384
10 Dy 0.2500 0.6700 0.0147

# Dy2RuSe

Dy2RuSe after structural relaxation (PBE, Alexandria via LeMat-Bulk).

- relative energy among the computed polymorphs (eV per atom) = 0.086
- space-group type = No. 166
- size of the total moment (μB/cell) = 0.0

Cell lengths 3.7526, 3.7526, 7.9031 Å; angles 76.27, 76.27, 60.00 degrees
Element x y z (fractional)
1 Se 0.5000 0.5000 0.5000
2 Ru 0.0000 0.0000 0.0000
3 Dy 0.2527 0.2527 0.2418
4 Dy 0.7472 0.7472 0.7582

# Dy4RuSe2

Dy4RuSe2 after structural relaxation (PBE, Alexandria via LeMat-Bulk).

- space-group type = No. 63
- VASP energy (eV per atom) = -6.038
- size of the total moment (μB/cell) = 0.0

Cell lengths 3.8450, 6.8634, 14.1085 Å; angles 90.00, 90.00, 106.27 degrees
Element x y z (fractional)
1 Dy 0.7974 0.5948 0.1305
2 Se 0.8581 0.7163 0.5656
3 Dy 0.7974 0.5948 0.3695
4 Dy 0.5000 0.0000 0.5000
5 Se 0.1419 0.2837 0.4344
6 Dy 0.9524 0.9048 0.7500
7 Dy 0.2026 0.4052 0.6305
8 Dy 0.2026 0.4052 0.8695
9 Ru 0.3974 0.7947 0.2500
10 Dy 0.0476 0.0952 0.2500
11 Se 0.1419 0.2837 0.0656
12 Se 0.8581 0.7163 0.9344
13 Ru 0.6026 0.2053 0.7500
14 Dy 0.5000 0.0000 0.0000

# Dy2RuSe

Dy2RuSe after structural relaxation (PBE, Alexandria via LeMat-Bulk).

- relative energy among the computed polymorphs (eV per atom) = 0.000
- space-group type = No. 123
- size of the total moment (μB/cell) = 0.0

Cell lengths 3.4591, 3.4591, 7.1994 Å; angles 90.00, 90.00, 90.00 degrees
Element x y z (fractional)
1 Dy 0.0000 0.0000 0.2334
2 Ru 0.5000 0.5000 0.0000
3 Se 0.5000 0.5000 0.5000
4 Dy 0.0000 0.0000 0.7665

# Dy4RuSe3

Dy4RuSe3 after structural relaxation (PBE, Alexandria via LeMat-Bulk).

- space-group type = No. 65
- VASP energy (eV per atom) = -6.139
- size of the total moment (μB/cell) = 0.0

Cell lengths 3.9858, 7.1881, 7.1881 Å; angles 107.69, 90.00, 90.00 degrees
Element x y z (fractional)
1 Ru 0.5000 0.0000 0.0000
2 Se 0.5000 0.5000 0.5000
3 Dy 0.0000 0.2321 0.2321
4 Dy 0.0000 0.7679 0.7679
5 Se 0.0000 0.0000 0.5000
6 Dy 0.5000 0.7702 0.2298
7 Dy 0.5000 0.2298 0.7702
8 Se 0.0000 0.5000 0.0000

# Dy6RuSe5

Dy6RuSe5 after structural relaxation (PBE, Alexandria via LeMat-Bulk).

- space-group type = No. 12
- VASP energy (eV per atom) = -6.056
- size of the total moment (μB/cell) = 0.0

Cell lengths 7.0996, 7.1458, 7.1425 Å; angles 59.98, 80.38, 70.49 degrees
Element x y z (fractional)
1 Dy 0.2336 0.6123 0.3108
2 Dy 0.7664 0.3877 0.6892
3 Se 0.5000 0.5000 0.0000
4 Se 0.0000 0.6650 0.6700
5 Dy 0.7631 0.7706 0.0000
6 Ru 0.0000 0.0000 0.0000
7 Se 0.5000 0.1761 0.6479
8 Dy 0.2369 0.2294 0.0000
9 Se 0.5000 0.8239 0.3521
10 Dy 0.2336 0.9231 0.6892
11 Se 0.0000 0.3350 0.3300
12 Dy 0.7664 0.0769 0.3108

# DySi2Ru2

DySi2Ru2 after structural relaxation (PBE, Alexandria via LeMat-Bulk).

- relative energy among the computed polymorphs (eV per atom) = 0.000
- space-group type = No. 139
- size of the total moment (μB/cell) = 0.0

Cell lengths 5.6197, 5.6197, 5.6197 Å; angles 136.34, 136.34, 63.45 degrees
Element x y z (fractional)
1 Dy 0.0000 0.0000 0.0000
2 Ru 0.2500 0.7500 0.5000
3 Si 0.6311 0.6311 0.0000
4 Ru 0.7500 0.2500 0.5000
5 Si 0.3689 0.3689 0.0000

# DySiRu

DySiRu after structural relaxation (PBE, Alexandria via LeMat-Bulk).

- space-group type = No. 62
- VASP energy (eV per atom) = -7.266
- size of the total moment (μB/cell) = 0.0

Cell lengths 4.3299, 6.9995, 7.1131 Å; angles 90.00, 90.00, 90.00 degrees
Element x y z (fractional)
1 Si 0.2500 0.3046 0.1062
2 Dy 0.7500 0.5144 0.3135
3 Si 0.2500 0.8046 0.3938
4 Si 0.7500 0.1954 0.6062
5 Dy 0.2500 0.4856 0.6865
6 Ru 0.7500 0.8464 0.5666
7 Si 0.7500 0.6954 0.8938
8 Ru 0.2500 0.1536 0.4334
9 Ru 0.2500 0.6536 0.0666
10 Ru 0.7500 0.3464 0.9334
11 Dy 0.2500 0.9856 0.8135
12 Dy 0.7500 0.0144 0.1865

# Dy3Si2Ru2

Dy3Si2Ru2 after structural relaxation (PBE, Alexandria via LeMat-Bulk).

- space-group type = No. 57
- VASP energy (eV per atom) = -6.920
- size of the total moment (μB/cell) = 0.0

Cell lengths 5.5590, 7.5867, 13.4217 Å; angles 90.00, 90.00, 90.00 degrees
Element x y z (fractional)
1 Ru 0.6475 0.0288 0.5907
2 Ru 0.6475 0.4712 0.0907
3 Ru 0.6475 0.4712 0.4093
4 Si 0.8624 0.3925 0.2500
5 Ru 0.3525 0.9712 0.0907
6 Dy 0.6272 0.7584 0.7500
7 Si 0.6061 0.7500 0.5000
8 Dy 0.1442 0.6000 0.3989
9 Si 0.8624 0.1075 0.7500
10 Si 0.3939 0.2500 0.0000
11 Dy 0.8558 0.4000 0.8989
12 Si 0.1376 0.6075 0.7500
13 Dy 0.8558 0.1000 0.3989
14 Ru 0.3525 0.9712 0.4093
15 Ru 0.3525 0.5288 0.5907
16 Dy 0.1442 0.9000 0.8989
17 Si 0.1376 0.8925 0.2500
18 Si 0.6061 0.7500 0.0000
19 Dy 0.3728 0.2584 0.7500
20 Dy 0.8558 0.1000 0.1011
21 Ru 0.6475 0.0288 0.9093
22 Dy 0.6272 0.7416 0.2500
23 Ru 0.3525 0.5288 0.9093
24 Dy 0.1442 0.6000 0.1011
25 Dy 0.3728 0.2416 0.2500
26 Dy 0.8558 0.4000 0.6011
27 Si 0.3939 0.2500 0.5000
28 Dy 0.1442 0.9000 0.6011

# DySi2Ru2

DySi2Ru2 after structural relaxation (PBE, Alexandria via LeMat-Bulk).

- relative energy among the computed polymorphs (eV per atom) = 0.208
- space-group type = No. 123
- size of the total moment (μB/cell) = 0.0

Cell lengths 4.1102, 4.1102, 4.9428 Å; angles 90.00, 90.00, 90.00 degrees
Element x y z (fractional)
1 Ru 0.5000 0.0000 0.5000
2 Si 0.5000 0.5000 0.7591
3 Dy 0.0000 0.0000 0.0000
4 Si 0.5000 0.5000 0.2409
5 Ru 0.0000 0.5000 0.5000

# Dy2SiRu

Dy2SiRu after structural relaxation (PBE, Alexandria via LeMat-Bulk).

- space-group type = No. 11
- VASP energy (eV per atom) = -6.590
- size of the total moment (μB/cell) = 0.0

Cell lengths 3.7265, 5.8851, 8.6689 Å; angles 113.12, 90.00, 90.00 degrees
Element x y z (fractional)
1 Ru 0.2500 0.3410 0.2174
2 Ru 0.7500 0.6590 0.7826
3 Dy 0.2500 0.7848 0.5788
4 Dy 0.2500 0.7815 0.0614
5 Si 0.2500 0.3660 0.7187
6 Si 0.7500 0.6340 0.2813
7 Dy 0.7500 0.2152 0.4212
8 Dy 0.7500 0.2185 0.9386

# DySi2Ru

DySi2Ru after structural relaxation (PBE, Alexandria via LeMat-Bulk).

- space-group type = No. 62
- VASP energy (eV per atom) = -7.002
- size of the total moment (μB/cell) = 0.0

Cell lengths 3.9924, 7.0094, 9.9760 Å; angles 90.00, 90.00, 90.00 degrees
Element x y z (fractional)
1 Si 0.2500 0.3503 0.3171
2 Si 0.2500 0.8503 0.1829
3 Si 0.7500 0.1983 0.4258
4 Ru 0.7500 0.9858 0.6113
5 Dy 0.2500 0.3491 0.6260
6 Si 0.2500 0.8017 0.5742
7 Ru 0.2500 0.0142 0.3887
8 Dy 0.2500 0.8491 0.8740
9 Dy 0.7500 0.1509 0.1260
10 Ru 0.7500 0.4858 0.8887
11 Si 0.7500 0.1497 0.8171
12 Dy 0.7500 0.6509 0.3740
13 Si 0.7500 0.6497 0.6829
14 Ru 0.2500 0.5142 0.1113
15 Si 0.2500 0.3017 0.9258
16 Si 0.7500 0.6983 0.0742

# DySi3Ru3

DySi3Ru3 after structural relaxation (PBE, Alexandria via LeMat-Bulk).

- space-group type = No. 223
- VASP energy (eV per atom) = -7.128
- size of the total moment (μB/cell) = 0.0

Cell lengths 6.4632, 6.4632, 6.4632 Å; angles 90.00, 90.00, 90.00 degrees
Element x y z (fractional)
1 Ru 0.5000 0.2500 0.0000
2 Si 0.0000 0.2500 0.5000
3 Si 0.0000 0.7500 0.5000
4 Dy 0.5000 0.5000 0.5000
5 Si 0.2500 0.5000 0.0000
6 Ru 0.0000 0.5000 0.7500
7 Si 0.7500 0.5000 0.0000
8 Si 0.5000 0.0000 0.2500
9 Dy 0.0000 0.0000 0.0000
10 Ru 0.0000 0.5000 0.2500
11 Ru 0.2500 0.0000 0.5000
12 Ru 0.7500 0.0000 0.5000
13 Si 0.5000 0.0000 0.7500
14 Ru 0.5000 0.7500 0.0000

# DySiRu

DySiRu after structural relaxation (PBE, Alexandria via LeMat-Bulk).

- space-group type = No. 187
- VASP energy (eV per atom) = -7.073
- size of the total moment (μB/cell) = 0.0

Cell lengths 3.9920, 4.1128, 4.1128 Å; angles 120.00, 90.00, 90.00 degrees
Element x y z (fractional)
1 Si 0.1667 0.0000 0.0000
2 Dy 0.6666 0.6667 0.3333
3 Ru 0.1667 0.3333 0.6667

# DySi3Ru5

DySi3Ru5 after structural relaxation (PBE, Alexandria via LeMat-Bulk).

- space-group type = No. 63
- VASP energy (eV per atom) = -7.893
- size of the total moment (μB/cell) = 0.0

Cell lengths 3.0072, 6.7527, 13.9339 Å; angles 90.00, 90.00, 102.87 degrees
Element x y z (fractional)
1 Si 0.6321 0.2643 0.4471
2 Ru 0.8067 0.6134 0.0813
3 Ru 0.1933 0.3866 0.5813
4 Ru 0.5291 0.0583 0.6552
5 Si 0.1398 0.2797 0.7500
6 Si 0.3679 0.7357 0.5529
7 Ru 0.0000 0.0000 0.5000
8 Ru 0.8067 0.6134 0.4187
9 Dy 0.1544 0.3088 0.2500
10 Ru 0.1933 0.3866 0.9187
11 Ru 0.4709 0.9417 0.3448
12 Dy 0.8456 0.6912 0.7500
13 Ru 0.4709 0.9417 0.1552
14 Ru 0.0000 0.0000 0.0000
15 Ru 0.5291 0.0583 0.8448
16 Si 0.8602 0.7203 0.2500
17 Si 0.3679 0.7357 0.9471
18 Si 0.6321 0.2643 0.0529

# Dy3Si4Ru2

Dy3Si4Ru2 after structural relaxation (PBE, Alexandria via LeMat-Bulk).

- space-group type = No. 12
- VASP energy (eV per atom) = -6.848
- size of the total moment (μB/cell) = 0.0

Cell lengths 4.1767, 5.7191, 8.0290 Å; angles 107.36, 90.00, 111.42 degrees
Element x y z (fractional)
1 Si 0.2791 0.5582 0.9226
2 Ru 0.3164 0.6328 0.6437
3 Dy 0.3830 0.7659 0.3030
4 Ru 0.6836 0.3672 0.3563
5 Dy 0.6170 0.2341 0.6970
6 Dy 0.0000 0.0000 0.0000
7 Si 0.7209 0.4418 0.0774
8 Si 0.1003 0.2006 0.4098
9 Si 0.8997 0.7994 0.5902

# DySi2Ru4

DySi2Ru4 after structural relaxation (PBE, Alexandria via LeMat-Bulk).

- space-group type = No. 136
- VASP energy (eV per atom) = -8.126
- size of the total moment (μB/cell) = 0.0

Cell lengths 3.8699, 7.5072, 7.5072 Å; angles 90.00, 90.00, 90.00 degrees
Element x y z (fractional)
1 Ru 0.5000 0.4209 0.8403
2 Ru 0.5000 0.1597 0.5791
3 Si 0.0000 0.7822 0.2178
4 Ru 0.5000 0.5791 0.1597
5 Dy 0.5000 0.0000 0.0000
6 Si 0.0000 0.2178 0.7822
7 Ru 0.0000 0.9209 0.6597
8 Ru 0.0000 0.6597 0.9209
9 Ru 0.0000 0.0791 0.3403
10 Si 0.5000 0.7178 0.7178
11 Ru 0.5000 0.8403 0.4209
12 Dy 0.0000 0.5000 0.5000
13 Si 0.5000 0.2822 0.2822
14 Ru 0.0000 0.3403 0.0791

# Dy2Si7Ru12

Dy2Si7Ru12 after structural relaxation (PBE, Alexandria via LeMat-Bulk).

- space-group type = No. 174
- VASP energy (eV per atom) = -8.138
- size of the total moment (μB/cell) = 0.0

Cell lengths 3.9374, 9.6034, 9.6034 Å; angles 120.00, 90.00, 90.00 degrees
Element x y z (fractional)
1 Ru 0.0000 0.0569 0.5435
2 Dy 0.0000 0.6667 0.3333
3 Si 0.5000 0.4408 0.0652
4 Si 0.0000 0.0429 0.7830
5 Ru 0.0000 0.4565 0.5134
6 Si 0.5000 0.6244 0.5592
7 Ru 0.5000 0.2361 0.7783
8 Ru 0.0000 0.4866 0.9431
9 Ru 0.5000 0.5422 0.7639
10 Si 0.5000 0.9348 0.3756
11 Ru 0.0000 0.2766 0.0408
12 Si 0.0000 0.2170 0.2599
13 Ru 0.0000 0.9592 0.2358
14 Ru 0.5000 0.3815 0.2834
15 Ru 0.5000 0.2217 0.4578
16 Ru 0.5000 0.7166 0.0981
17 Ru 0.0000 0.7642 0.7234
18 Si 0.0000 0.3333 0.6667
19 Ru 0.5000 0.9019 0.6185
20 Si 0.0000 0.7401 0.9571
21 Dy 0.5000 0.0000 0.0000